A relaxed structure of TaMnPd3. Source: the Alexandria database, functional PBE.

a b c (Å): 4.8252 4.8252 4.8252
angles (deg): 90.00 90.00 90.00
Element x y z (fractional)
Ta (0.0000, 0.0000, 0.0000)
Mn (0.5000, 0.5000, 0.5000)
Pd (0.0000, 0.0000, 0.5000)
Pd (0.0000, 0.5000, 0.0000)
Pd (0.5000, 0.0000, 0.0000)

## Properties
* relative energy among the computed polymorphs: 1191 meV per atom
* V: 22.5 Å³/atom
* formation energy: 961 meV/atom
* size of the total moment: 4.20 μB per formula unit